Record 1
BaLi2TeCl8 | PBE-GGA | optimized geometry

a b c (Å): 6.280 6.280 9.964
angles (deg): 71.63 71.63 60.00
Atoms (fractional coordinates):
1 Te 0.000 0.000 0.000
2 Cl 0.288 0.913 0.164
3 Cl 0.087 0.365 0.836
4 Cl 0.635 0.288 0.164
5 Cl 0.712 0.087 0.836
6 Cl 0.365 0.712 0.836
7 Cl 0.173 0.173 0.480
8 Cl 0.827 0.827 0.520
9 Cl 0.913 0.635 0.164
10 Li 0.745 0.745 0.764
11 Li 0.255 0.255 0.236
12 Ba 0.500 0.500 0.500

Output
Formation energy from raw total energies   -1.373 eV per atom
Spin magnetization   0.00 μB/f.u.
N(E_F)   0.00 states/eV per cell
Symmetry   R-3, No. 148
Crystal system   trigonal
Density   2.947 Mg/m³

Record 2
BaLi2ThCl8 | PBE-GGA | optimized geometry

a b c (Å): 6.307 6.336 9.334
angles (deg): 90.00 89.99 81.15
Atoms (fractional coordinates):
1 Li 0.500 0.500 0.679
2 Li 0.500 0.500 0.321
3 Cl 0.785 0.224 0.224
4 Cl 0.326 0.315 0.500
5 Cl 0.277 0.266 0.000
6 Cl 0.674 0.685 0.500
7 Cl 0.215 0.776 0.224
8 Cl 0.785 0.224 0.776
9 Cl 0.723 0.734 0.000
10 Cl 0.215 0.776 0.776
11 Th 0.000 0.000 0.000
12 Ba 0.000 0.000 0.500

Output
Formation energy from raw total energies   -2.088 eV per atom
Spin magnetization   0.00 μB/f.u.
N(E_F)   0.00 states/eV per cell
Symmetry   P2/m, No. 10
Crystal system   monoclinic
Density   3.004 Mg/m³